Record 1
# K2NaNpI6, relaxed, DFT PBE
# * Fermi-level density of states: 8.92 states/eV/cell
# * ρ: 4.2 g/cm³
# * crystal system: monoclinic
# * total magnetization: 4.0 μB per formula unit
# * energy relative to the elements, uncorrected: -1.19 eV/atom
data_K2NaNpI6
_chemical_formula_sum 'K4 Na2 Np2 I12'
_cell_length_a 8.224
_cell_length_b 8.867
_cell_length_c 14.501
_cell_angle_alpha 90.00
_cell_angle_beta 124.05
_cell_angle_gamma 90.00
_space_group_name_H-M_alt 'P 1'
_space_group_IT_number 1
loop_
_space_group_symop_operation_xyz
'x,y,z'
loop_
_atom_site_label
_atom_site_type_symbol
_atom_site_fract_x
_atom_site_fract_y
_atom_site_fract_z
K1 K 0.214 0.090 0.249
K2 K 0.214 0.410 0.749
K3 K 0.786 0.590 0.251
K4 K 0.786 0.910 0.751
Na1 Na 0.000 0.000 0.500
Na2 Na 0.000 0.500 0.000
Np1 Np 0.500 0.000 0.000
Np2 Np 0.500 0.500 0.500
I1 I 0.132 0.188 0.939
I2 I 0.132 0.312 0.439
I3 I 0.265 0.699 0.943
I4 I 0.265 0.801 0.443
I5 I 0.375 0.035 0.754
I6 I 0.375 0.465 0.254
I7 I 0.625 0.535 0.746
I8 I 0.625 0.965 0.246
I9 I 0.735 0.199 0.557
I10 I 0.735 0.301 0.057
I11 I 0.868 0.688 0.561
I12 I 0.868 0.812 0.061

Record 2
# KNaNpI6, relaxed, DFT PBE
# * Fermi-level density of states: 9.01 states/eV/cell
# * ρ: 4.1 g/cm³
# * crystal system: trigonal
# * total magnetization: 3.0 μB per formula unit
# * energy relative to the elements, uncorrected: -1.04 eV/atom
data_KNaNpI6
_chemical_formula_sum 'K2 Na2 Np2 I12'
_cell_length_a 8.092
_cell_length_b 8.092
_cell_length_c 15.316
_cell_angle_alpha 90.00
_cell_angle_beta 90.00
_cell_angle_gamma 120.00
_space_group_name_H-M_alt 'P 1'
_space_group_IT_number 1
loop_
_space_group_symop_operation_xyz
'x,y,z'
loop_
_atom_site_label
_atom_site_type_symbol
_atom_site_fract_x
_atom_site_fract_y
_atom_site_fract_z
K1 K 0.000 0.000 0.000
K2 K 0.000 0.000 0.500
Na1 Na 0.333 0.667 0.250
Na2 Na 0.667 0.333 0.750
Np1 Np 0.333 0.667 0.750
Np2 Np 0.667 0.333 0.250
I1 I 0.022 0.373 0.635
I2 I 0.022 0.649 0.865
I3 I 0.351 0.373 0.865
I4 I 0.351 0.978 0.635
I5 I 0.373 0.022 0.135
I6 I 0.373 0.351 0.365
I7 I 0.627 0.649 0.635
I8 I 0.627 0.978 0.865
I9 I 0.649 0.022 0.365
I10 I 0.649 0.627 0.135
I11 I 0.978 0.351 0.135
I12 I 0.978 0.627 0.365

Record 3
# KNa2IO4, relaxed, DFT PBE
# * Fermi-level density of states: 0.00 states/eV/cell
# * ρ: 2.9 g/cm³
# * crystal system: tetragonal
# * total magnetization: 0.0 μB per formula unit
# * energy relative to the elements, uncorrected: -1.02 eV/atom
data_KNa2IO4
_chemical_formula_sum 'K2 Na4 I2 O8'
_cell_length_a 5.412
_cell_length_b 5.412
_cell_length_c 10.615
_cell_angle_alpha 90.00
_cell_angle_beta 90.00
_cell_angle_gamma 90.00
_space_group_name_H-M_alt 'P 1'
_space_group_IT_number 1
loop_
_space_group_symop_operation_xyz
'x,y,z'
loop_
_atom_site_label
_atom_site_type_symbol
_atom_site_fract_x
_atom_site_fract_y
_atom_site_fract_z
K1 K 0.000 0.000 0.000
K2 K 0.500 0.500 0.500
Na1 Na 0.000 0.000 0.500
Na2 Na 0.000 0.500 0.750
Na3 Na 0.500 0.000 0.250
Na4 Na 0.500 0.500 0.000
I1 I 0.000 0.500 0.250
I2 I 0.500 0.000 0.750
O1 O 0.191 0.261 0.353
O2 O 0.239 0.691 0.147
O3 O 0.261 0.809 0.647
O4 O 0.309 0.239 0.853
O5 O 0.691 0.761 0.853
O6 O 0.739 0.191 0.647
O7 O 0.761 0.309 0.147
O8 O 0.809 0.739 0.353

Record 4
# KNaIO2, relaxed, DFT PBE
# * Fermi-level density of states: 1.86 states/eV/cell
# * ρ: 2.5 g/cm³
# * crystal system: tetragonal
# * total magnetization: 3.0 μB per formula unit
# * energy relative to the elements, uncorrected: -0.29 eV/atom
# * polymorph energy (0 for the lowest one): 0.0 kJ/mol of atoms
data_KNaIO2
_chemical_formula_sum 'K1 Na1 I1 O2'
_cell_length_a 4.842
_cell_length_b 4.842
_cell_length_c 6.170
_cell_angle_alpha 90.00
_cell_angle_beta 90.00
_cell_angle_gamma 90.00
_space_group_name_H-M_alt 'P 1'
_space_group_IT_number 1
loop_
_space_group_symop_operation_xyz
'x,y,z'
loop_
_atom_site_label
_atom_site_type_symbol
_atom_site_fract_x
_atom_site_fract_y
_atom_site_fract_z
K1 K 0.000 0.000 0.000
Na1 Na 0.500 0.500 0.500
I1 I 0.500 0.500 0.000
O1 O 0.000 0.500 0.500
O2 O 0.500 0.000 0.500

Record 5
# K3NaI2O9, relaxed, DFT PBE
# * Fermi-level density of states: 9.95 states/eV/cell
# * ρ: 4.0 g/cm³
# * crystal system: trigonal
# * total magnetization: 0.0 μB per formula unit
# * energy relative to the elements, uncorrected: -0.90 eV/atom
data_K3NaI2O9
_chemical_formula_sum 'K3 Na1 I2 O9'
_cell_length_a 5.877
_cell_length_b 5.877
_cell_length_c 7.386
_cell_angle_alpha 90.00
_cell_angle_beta 90.00
_cell_angle_gamma 120.00
_space_group_name_H-M_alt 'P 1'
_space_group_IT_number 1
loop_
_space_group_symop_operation_xyz
'x,y,z'
loop_
_atom_site_label
_atom_site_type_symbol
_atom_site_fract_x
_atom_site_fract_y
_atom_site_fract_z
K1 K 0.000 0.000 0.000
K2 K 0.333 0.667 0.660
K3 K 0.667 0.333 0.340
Na1 Na 0.000 0.000 0.500
I1 I 0.333 0.667 0.170
I2 I 0.667 0.333 0.830
O1 O 0.000 0.500 0.000
O2 O 0.180 0.359 0.300
O3 O 0.180 0.820 0.300
O4 O 0.359 0.180 0.700
O5 O 0.500 0.000 0.000
O6 O 0.500 0.500 0.000
O7 O 0.641 0.820 0.300
O8 O 0.820 0.180 0.700
O9 O 0.820 0.641 0.700

Record 6
# KNaIO2, relaxed, DFT PBE
# * Fermi-level density of states: 3.12 states/eV/cell
# * ρ: 2.0 g/cm³
# * crystal system: tetragonal
# * total magnetization: 3.0 μB per formula unit
# * energy relative to the elements, uncorrected: -0.08 eV/atom
# * polymorph energy (0 for the lowest one): 20.1 kJ/mol of atoms
data_KNaIO2
_chemical_formula_sum 'K1 Na1 I1 O2'
_cell_length_a 5.133
_cell_length_b 5.133
_cell_length_c 7.021
_cell_angle_alpha 90.00
_cell_angle_beta 90.00
_cell_angle_gamma 90.00
_space_group_name_H-M_alt 'P 1'
_space_group_IT_number 1
loop_
_space_group_symop_operation_xyz
'x,y,z'
loop_
_atom_site_label
_atom_site_type_symbol
_atom_site_fract_x
_atom_site_fract_y
_atom_site_fract_z
K1 K 0.000 0.000 0.000
Na1 Na 0.500 0.500 0.500
I1 I 0.000 0.000 0.500
O1 O 0.000 0.500 0.000
O2 O 0.500 0.000 0.000

Record 7
# K2Na3IO6, relaxed, DFT PBE
# * Fermi-level density of states: 0.00 states/eV/cell
# * ρ: 3.2 g/cm³
# * crystal system: monoclinic
# * total magnetization: 0.0 μB per formula unit
# * energy relative to the elements, uncorrected: -1.25 eV/atom
data_K2Na3IO6
_chemical_formula_sum 'K2 Na3 I1 O6'
_cell_length_a 6.474
_cell_length_b 6.474
_cell_length_c 5.795
_cell_angle_alpha 100.82
_cell_angle_beta 100.82
_cell_angle_gamma 121.62
_space_group_name_H-M_alt 'P 1'
_space_group_IT_number 1
loop_
_space_group_symop_operation_xyz
'x,y,z'
loop_
_atom_site_label
_atom_site_type_symbol
_atom_site_fract_x
_atom_site_fract_y
_atom_site_fract_z
K1 K 0.172 0.828 0.000
K2 K 0.828 0.172 0.000
Na1 Na 0.000 0.000 0.500
Na2 Na 0.365 0.635 0.500
Na3 Na 0.635 0.365 0.500
I1 I 0.500 0.500 0.000
O1 O 0.188 0.429 0.777
O2 O 0.308 0.308 0.189
O3 O 0.429 0.188 0.777
O4 O 0.571 0.812 0.223
O5 O 0.692 0.692 0.811
O6 O 0.812 0.571 0.223

Record 8
# K2NaIO6, relaxed, DFT PBE
# * Fermi-level density of states: 5.81 states/eV/cell
# * ρ: 3.4 g/cm³
# * crystal system: cubic
# * total magnetization: 2.0 μB per formula unit
# * energy relative to the elements, uncorrected: -0.93 eV/atom
data_K2NaIO6
_chemical_formula_sum 'K2 Na1 I1 O6'
_cell_length_a 6.050
_cell_length_b 6.050
_cell_length_c 6.050
_cell_angle_alpha 60.00
_cell_angle_beta 60.00
_cell_angle_gamma 60.00
_space_group_name_H-M_alt 'P 1'
_space_group_IT_number 1
loop_
_space_group_symop_operation_xyz
'x,y,z'
loop_
_atom_site_label
_atom_site_type_symbol
_atom_site_fract_x
_atom_site_fract_y
_atom_site_fract_z
K1 K 0.250 0.250 0.250
K2 K 0.750 0.750 0.750
Na1 Na 0.000 0.000 0.000
I1 I 0.500 0.500 0.500
O1 O 0.280 0.280 0.720
O2 O 0.280 0.720 0.280
O3 O 0.280 0.720 0.720
O4 O 0.720 0.280 0.280
O5 O 0.720 0.280 0.720
O6 O 0.720 0.720 0.280